1.
Sm6ScIn: optimized geometry, PBE.

Values from the calculation:
**Volume**: 30.7 Å³/atom
**D(E_F)**: 9.712 states/eV/f.u.
**Raw total energy**: -4.78 eV/atom
**Mass density**: 7.2 g/cm³
**Calculated formation energy**: -0.89 eV per formula unit

a = 4.9450 Å, b = 4.9450 Å, c = 10.0471 Å
α = 90.00°, β = 90.00°, γ = 90.00°
Space group P4/mmm (No. 123)
One atom of each set of equivalent atoms:
Sm1 0.0000 0.0000 0.0000 x1
Sm2 0.0000 0.0000 0.5000 x1
Sm3 0.0000 0.5000 0.2481 x4
Sc1 0.5000 0.5000 0.5000 x1
In1 0.5000 0.5000 0.0000 x1


2.
KPuCO5: optimized geometry, PBE.

Values from the calculation:
**Volume**: 15.2 Å³/atom
**Raw total energy**: -8.41 eV/atom
**Mass density**: 5.1 g/cm³
**ΔE to the lowest computed polymorph**: 0.0 meV/atom

a = 5.1268 Å, b = 5.1268 Å, c = 10.6565 Å
α = 90.00°, β = 90.00°, γ = 120.00°
Space group P6_3/mmc (No. 194)
One atom of each set of equivalent atoms:
K1 0.0000 0.0000 0.0000 x2
Pu1 0.3333 0.6667 0.2500 x2
C1 0.3333 0.6667 0.7500 x2
O1 0.1874 0.3749 0.7500 x6
O2 0.3333 0.6667 0.0783 x4


3.
Nb2ZnPd: optimized geometry, PBE.

Values from the calculation:
**Volume**: 17.7 Å³/atom
**D(E_F)**: 3.254 states/eV/f.u.
**Raw total energy**: -6.39 eV/atom
**Mass density**: 8.4 g/cm³
**Calculated formation energy**: 1.04 eV per formula unit

a = 7.3819 Å, b = 7.3819 Å, c = 5.2027 Å
α = 90.00°, β = 90.00°, γ = 90.00°
Space group I-42d (No. 122)
One atom of each set of equivalent atoms:
Nb1 0.2427 0.2500 0.1250 x8
Zn1 0.0000 0.0000 0.5000 x4
Pd1 0.0000 0.0000 0.0000 x4


4.
Tl3H4Pb: optimized geometry, PBE.

Values from the calculation:
**Volume**: 18.8 Å³/atom
**D(E_F)**: 1.105 states/eV/f.u.
**Raw total energy**: -2.65 eV/atom
**Mass density**: 9.1 g/cm³

a = 3.4874 Å, b = 6.3629 Å, c = 13.5773 Å
α = 90.00°, β = 90.00°, γ = 90.00°
Space group Immm (No. 71)
One atom of each set of equivalent atoms:
Tl1 0.0000 0.0000 0.0000 x2
Tl2 0.0000 0.5000 0.2729 x4
H1 0.0000 0.2654 0.3965 x8
Pb1 0.0000 0.0000 0.5000 x2